1.
Entry from Alexandria via LeMat-Bulk: a relaxed Tl2MoP4 crystal (PBE-GGA).

Results
The magnetic moment is 0.00 Bohr magnetons per cell. The density of states at the Fermi level is 0.298 states/eV per atom. Its formation energy is 11.02 kJ per mole of atoms.

Cell: 10.321 4.843 12.401 Å, 90.00 93.55 90.00°
Space group C2/m (No. 12)
Asymmetric unit:
Tl: 0.000 0.000 0.000 [2 per cell]
Tl: 0.000 0.000 0.500 [2 per cell]
Tl: 0.199 0.500 0.096 [4 per cell]
Mo: 0.241 0.000 0.409 [4 per cell]
P: 0.039 0.000 0.265 [4 per cell]
P: 0.133 0.282 0.742 [8 per cell]
P: 0.170 0.500 0.414 [4 per cell]



2.
Entry from Alexandria via LeMat-Bulk: a relaxed CsVSeBr2 crystal (PBE-GGA).

Results
The magnetic moment is 2.00 Bohr magnetons per cell. The density of states at the Fermi level is 0.438 states/eV per atom. As for the formation energy from raw total energies: -975 meV per atom.

Cell: 5.519 5.519 4.863 Å, 90.00 90.00 90.00°
Space group P4/mmm (No. 123)
Asymmetric unit:
Cs: 0.000 0.000 0.000 [1 per cell]
V: 0.500 0.500 0.500 [1 per cell]
Se: 0.500 0.500 0.000 [1 per cell]
Br: 0.000 0.500 0.500 [2 per cell]



3.
Entry from Alexandria via LeMat-Bulk: a relaxed LaPm2Nd5Mg crystal (PBE-GGA).

Results
The magnetic moment is 0.00 Bohr magnetons per cell. The density of states at the Fermi level is 1.597 states/eV per atom. Its formation energy is 8.13 kJ per mole of atoms.

Cell: 5.627 20.275 10.943 Å, 90.00 90.00 90.00°
Space group Cmc2_1 (No. 36)
Asymmetric unit:
La: 0.000 0.201 0.000 [4 per cell]
Pm: 0.000 0.115 0.290 [4 per cell]
Pm: 0.000 0.115 0.710 [4 per cell]
Nd: 0.000 0.013 0.000 [4 per cell]
Nd: 0.000 0.289 0.299 [4 per cell]
Nd: 0.000 0.289 0.701 [4 per cell]
Nd: 0.000 0.383 0.000 [4 per cell]
Nd: 0.000 0.500 0.250 [4 per cell]
Mg: 0.000 0.406 0.499 [4 per cell]